This record from Alexandria describes a relaxed structure of Ga6CoCu3. The functional is PBE.

Cell and atoms, written as POSCAR:
```
Ga6CoCu3
1.0
6.7723 0.0000 0.0000
0.0000 6.2937 0.0000
-5.0014 0.0000 7.3205
Ga Co Cu
12 2 6
direct
0.0530 0.0271 0.2882 Ga
0.0530 0.4729 0.7882 Ga
0.2382 0.6874 0.1003 Ga
0.2382 0.8126 0.6003 Ga
0.3771 0.0951 0.0535 Ga
0.3771 0.4049 0.5535 Ga
0.6229 0.5951 0.4465 Ga
0.6229 0.9049 0.9465 Ga
0.7618 0.1874 0.3997 Ga
0.7618 0.3126 0.8997 Ga
0.9470 0.5271 0.2118 Ga
0.9470 0.9729 0.7118 Ga
0.0000 0.0000 0.0000 Co
0.0000 0.5000 0.5000 Co
0.2868 0.1907 0.7413 Cu
0.2868 0.3093 0.2413 Cu
0.5000 0.0000 0.5000 Cu
0.5000 0.5000 0.0000 Cu
0.7132 0.6907 0.7587 Cu
0.7132 0.8093 0.2587 Cu
```

Output
Density = 7.109 g/cm³
Space-group type = P2_1/c
Total magnetization = 0.0000 μB/atom
Density of states at the Fermi level = 6.25 states/eV/cell
ΔE_f = -0.0222 eV per atom